A plane-wave DFT calculation with PBE was carried out for a relaxed structure of TlBiC.

a b c (Å): 5.9303 5.9303 6.3930
angles (deg): 117.40 117.40 58.65
Element x y z (fractional)
Tl 0.0877 0.0877 0.3033
Tl 0.9123 0.9123 0.6967
Bi 0.3265 0.3265 0.9701
Bi 0.6735 0.6735 0.0299
C 0.4613 0.4613 0.3848
C 0.5387 0.5387 0.6152

Crystal system   monoclinic
Calculated total energy   -4.495 eV per atom
Density of states at the Fermi level   0.72 states/eV/f.u.
Symmetry   C2/m (12)
ΔE_f   0.662 eV/atom
Total magnetization   0.000 μB/f.u.
Polymorph energy (0 for the lowest one)   0.02 eV/f.u.